1.
Density functional theory data (PBE-GGA) for a relaxed structure of PPdO2F.

Calculated values
**DFT total energy**: -21.0 eV per cell

The structure in POSCAR format:
```
PPdO2F
1.0
-1.327 3.360 1.147
-3.538 -1.354 -0.125
0.407 -1.517 4.914
O Pd F P
2 1 1 1
Cartesian
-1.769 -0.677 -0.062
-0.663 1.680 0.574
0.000 0.000 0.000
-2.229 0.245 2.968
0.204 -0.758 2.457
```

***

2.
Density functional theory data (PBE-GGA) for a relaxed structure of Cr2RuRh.

Calculated values
**DFT total energy**: -35.8 eV per cell
**Energy of formation from the pure elements**: 0.1 eV/f.u.

The structure in POSCAR format:
```
Cr2RuRh
1.0
4.508 0.001 0.004
1.343 4.303 -0.004
-2.927 -2.151 2.670
Cr Rh Ru
2 1 1
Cartesian
2.925 2.152 0.000
0.000 0.000 0.000
2.254 0.001 1.337
0.671 2.152 1.333
```